Record 1
Here is AlCd4Au5 after structural relaxation from Alexandria via LeMat-Bulk. Energies are from PBE.

Unit cell a=5.025 b=6.868 c=6.868 alpha=82.31 beta=68.54 gamma=68.54
Fractional coordinates of all 10 atoms:
Al 0.168 0.000 0.000
Cd 0.760 0.685 0.685
Cd 0.445 0.315 0.685
Cd 0.445 0.685 0.315
Cd 0.130 0.315 0.315
Au 0.162 0.623 0.000
Au 0.162 0.000 0.623
Au 0.785 0.000 0.377
Au 0.785 0.377 0.000
Au 0.649 0.000 0.000

Output
total energy = -2.503 eV/atom
DOS(E_F) = 2.2 states/eV per cell
energy of formation = -0.124 eV/atom
symmetry = I4mm
energy above the most stable polymorph in this dataset = 0.00 eV per formula unit

=====

Record 2
Here is AlCd2Au after structural relaxation from Alexandria via LeMat-Bulk. Energies are from PBE.

Unit cell a=4.831 b=4.831 c=4.831 alpha=60.00 beta=60.00 gamma=60.00
Fractional coordinates of all 4 atoms:
Au 0.750 0.750 0.750
Al 0.500 0.500 0.500
Cd 0.000 0.000 0.000
Cd 0.250 0.250 0.250

Output
total energy = -2.167 eV/atom
DOS(E_F) = 2.9 states/eV per cell
energy of formation = 0.046 eV/atom
symmetry = F-43m

=====

Record 3
Here is Al2Cd2Au5 after structural relaxation from Alexandria via LeMat-Bulk. Energies are from PBE.

Unit cell a=7.100 b=7.225 c=7.749 alpha=117.79 beta=90.00 gamma=90.00
Fractional coordinates of all 18 atoms:
Al 0.645 0.851 0.000
Al 0.355 0.149 0.000
Al 0.145 0.649 0.000
Al 0.855 0.351 0.000
Cd 0.000 0.207 0.414
Cd 0.500 0.707 0.414
Cd 0.000 0.793 0.586
Cd 0.500 0.293 0.586
Au 0.000 0.000 0.000
Au 0.500 0.500 0.000
Au 0.846 0.766 0.241
Au 0.154 0.474 0.241
Au 0.346 0.974 0.241
Au 0.654 0.266 0.241
Au 0.154 0.234 0.759
Au 0.846 0.526 0.759
Au 0.654 0.026 0.759
Au 0.346 0.734 0.759

Output
total energy = -3.044 eV/atom
DOS(E_F) = 4.0 states/eV per cell
energy of formation = -0.188 eV/atom
symmetry = Cmce

=====

Record 4
Here is Al2CdAu after structural relaxation from Alexandria via LeMat-Bulk. Energies are from PBE.

Unit cell a=3.318 b=5.173 c=5.449 alpha=51.97 beta=90.00 gamma=90.00
Fractional coordinates of all 4 atoms:
Au 0.500 0.500 0.500
Al 0.000 0.000 0.000
Al 0.500 0.500 0.000
Cd 0.000 0.000 0.500

Output
total energy = -3.001 eV/atom
DOS(E_F) = 0.6 states/eV per cell
energy of formation = -0.082 eV/atom
symmetry = P2/m

=====

Record 5
Here is AlCd3Au6 after structural relaxation from Alexandria via LeMat-Bulk. Energies are from PBE.

Unit cell a=4.511 b=8.539 c=9.881 alpha=101.08 beta=90.00 gamma=90.00
Fractional coordinates of all 20 atoms:
Al 0.250 0.950 0.600
Al 0.750 0.050 0.400
Cd 0.250 0.537 0.394
Cd 0.750 0.463 0.606
Cd 0.250 0.365 0.784
Cd 0.750 0.635 0.216
Cd 0.250 0.767 0.001
Cd 0.750 0.233 0.999
Au 0.250 0.457 0.087
Au 0.750 0.543 0.913
Au 0.250 0.152 0.169
Au 0.750 0.848 0.831
Au 0.250 0.676 0.685
Au 0.750 0.324 0.315
Au 0.250 0.217 0.488
Au 0.750 0.783 0.512
Au 0.250 0.871 0.323
Au 0.750 0.129 0.677
Au 0.250 0.057 0.864
Au 0.750 0.943 0.136

Output
total energy = -2.815 eV/atom
DOS(E_F) = 3.8 states/eV per cell
energy of formation = -0.200 eV/atom
symmetry = P2_1/m

=====

Record 6
Here is AlCdAu after structural relaxation from Alexandria via LeMat-Bulk. Energies are from PBE.

Unit cell a=4.438 b=4.438 c=3.473 alpha=90.00 beta=90.00 gamma=120.00
Fractional coordinates of all 3 atoms:
Au 0.667 0.333 0.166
Al 0.000 0.000 0.167
Cd 0.333 0.667 0.667

Output
total energy = -2.761 eV/atom
DOS(E_F) = 1.6 states/eV per cell
energy of formation = -0.116 eV/atom
symmetry = P3m1

=====

Record 7
Here is Al3CdAu after structural relaxation from Alexandria via LeMat-Bulk. Energies are from PBE.

Unit cell a=4.928 b=4.928 c=4.928 alpha=90.00 beta=90.00 gamma=90.00
Fractional coordinates of all 5 atoms:
Au 0.000 0.000 0.000
Al 0.000 0.500 0.000
Al 0.000 0.000 0.500
Al 0.500 0.000 0.000
Cd 0.500 0.500 0.500

Output
total energy = -2.848 eV/atom
DOS(E_F) = 3.0 states/eV per cell
energy of formation = 0.236 eV/atom
symmetry = Pm-3m
energy above the most stable polymorph in this dataset = 0.00 eV per formula unit

=====

Record 8
Here is AlCd2Au after structural relaxation from Alexandria via LeMat-Bulk. Energies are from PBE.

Unit cell a=2.907 b=3.795 c=7.325 alpha=90.00 beta=90.00 gamma=90.00
Fractional coordinates of all 4 atoms:
Au 0.500 0.500 0.716
Al 0.000 0.000 0.538
Cd 0.000 0.000 0.982
Cd 0.500 0.500 0.264

Output
total energy = -2.291 eV/atom
DOS(E_F) = 1.0 states/eV per cell
energy of formation = -0.078 eV/atom
symmetry = Pmm2